! Mg2ZrSb GGA-PBE optimized geometry; values from VASP
! - spin magnetization (μB per atom) = 0.00
! - crystal system = orthorhombic
! - SG = Immm
! - energy relative to the elements, uncorrected (eV per atom) = -0.256
! - total DFT energy (no corrections) (eV per atom) = -4.221
&SYSTEM
  ibrav = 0, nat = 4, ntyp = 3
/
ATOMIC_SPECIES
Zr 91.22 Zr.upf
Mg 24.30 Mg.upf
Sb 121.76 Sb.upf
CELL_PARAMETERS angstrom
5.997 0.005 -0.053
3.114 5.125 0.053
-4.460 -2.735 2.932
ATOMIC_POSITIONS crystal
Zr 0.750 0.250 0.500
Mg 0.003 0.003 0.000
Sb 0.250 0.750 0.500
Mg 0.497 0.497 0.000



! MgZrSb2 GGA-PBE optimized geometry; values from VASP
! - spin magnetization (μB per atom) = 0.00
! - crystal system = orthorhombic
! - SG = Cmmm
! - energy relative to the elements, uncorrected (eV per atom) = -0.284
! - total DFT energy (no corrections) (eV per atom) = -4.881
&SYSTEM
  ibrav = 0, nat = 4, ntyp = 3
/
ATOMIC_SPECIES
Mg 24.30 Mg.upf
Sb 121.76 Sb.upf
Zr 91.22 Zr.upf
CELL_PARAMETERS angstrom
-3.243 -0.413 -0.924
1.188 -3.147 0.472
-2.415 0.335 8.322
ATOMIC_POSITIONS crystal
Mg 0.500 0.500 0.750
Sb 0.000 0.000 0.008
Sb 0.000 0.000 0.492
Zr 0.500 0.500 0.250



! MgZrSb2 GGA-PBE optimized geometry; values from VASP
! - spin magnetization (μB per atom) = 0.00
! - crystal system = orthorhombic
! - SG = Amm2
! - energy relative to the elements, uncorrected (eV per atom) = -0.366
! - total DFT energy (no corrections) (eV per atom) = -4.963
&SYSTEM
  ibrav = 0, nat = 8, ntyp = 3
/
ATOMIC_SPECIES
Zr 91.22 Zr.upf
Sb 121.76 Sb.upf
Mg 24.30 Mg.upf
CELL_PARAMETERS angstrom
3.272 0.000 0.000
0.000 3.941 0.000
0.000 0.000 15.467
ATOMIC_POSITIONS crystal
Zr 0.500 0.500 0.421
Sb 0.000 0.500 0.037
Mg 0.500 0.500 0.648
Sb 0.000 0.000 0.537
Zr 0.500 0.000 0.921
Sb 0.000 0.000 0.308
Sb 0.000 0.500 0.808
Mg 0.500 0.000 0.148



! MgZrSb2 GGA-PBE optimized geometry; values from VASP
! - spin magnetization (μB per atom) = 0.00
! - crystal system = tetragonal
! - SG = P4mm
! - energy relative to the elements, uncorrected (eV per atom) = -0.404
! - total DFT energy (no corrections) (eV per atom) = -5.000
&SYSTEM
  ibrav = 0, nat = 4, ntyp = 3
/
ATOMIC_SPECIES
Zr 91.22 Zr.upf
Mg 24.30 Mg.upf
Sb 121.76 Sb.upf
CELL_PARAMETERS angstrom
4.097 0.000 0.000
0.000 4.097 0.000
0.000 0.000 5.935
ATOMIC_POSITIONS crystal
Zr 0.000 0.000 0.220
Mg 0.500 0.500 0.563
Sb 0.000 0.000 0.693
Sb 0.500 0.500 0.078



! Mg2ZrSb GGA-PBE optimized geometry; values from VASP
! - spin magnetization (μB per atom) = 0.00
! - crystal system = cubic
! - SG = F-43m
! - energy relative to the elements, uncorrected (eV per atom) = 0.027
! - total DFT energy (no corrections) (eV per atom) = -3.938
&SYSTEM
  ibrav = 0, nat = 4, ntyp = 3
/
ATOMIC_SPECIES
Zr 91.22 Zr.upf
Mg 24.30 Mg.upf
Sb 121.76 Sb.upf
CELL_PARAMETERS angstrom
-0.717 -4.950 0.753
3.849 -3.230 -0.581
2.034 -2.264 4.040
ATOMIC_POSITIONS crystal
Zr 0.250 0.250 0.250
Mg 0.750 0.750 0.750
Sb 0.500 0.500 0.500
Mg 0.000 0.000 0.000



! MgZr2Sb GGA-PBE optimized geometry; values from VASP
! - spin magnetization (μB per atom) = 0.00
! - crystal system = trigonal
! - SG = R3m
! - energy relative to the elements, uncorrected (eV per atom) = 0.017
! - total DFT energy (no corrections) (eV per atom) = -5.687
&SYSTEM
  ibrav = 0, nat = 4, ntyp = 3
/
ATOMIC_SPECIES
Mg 24.30 Mg.upf
Zr 91.22 Zr.upf
Sb 121.76 Sb.upf
CELL_PARAMETERS angstrom
3.814 0.000 0.000
1.907 3.303 0.000
1.907 1.101 8.109
ATOMIC_POSITIONS crystal
Mg 0.500 0.500 0.501
Zr 0.074 0.074 0.778
Zr 0.259 0.259 0.222
Sb 0.667 0.667 0.998



! MgZr2Sb GGA-PBE optimized geometry; values from VASP
! - spin magnetization (μB per atom) = 0.00
! - crystal system = tetragonal
! - SG = P4/mmm
! - energy relative to the elements, uncorrected (eV per atom) = -0.323
! - total DFT energy (no corrections) (eV per atom) = -6.026
&SYSTEM
  ibrav = 0, nat = 4, ntyp = 3
/
ATOMIC_SPECIES
Zr 91.22 Zr.upf
Sb 121.76 Sb.upf
Mg 24.30 Mg.upf
CELL_PARAMETERS angstrom
4.368 0.000 0.000
0.000 4.374 0.000
0.000 0.000 4.559
ATOMIC_POSITIONS crystal
Zr 0.000 0.000 0.000
Zr 0.500 0.500 0.000
Sb 0.000 0.500 0.500
Mg 0.500 0.000 0.500



! MgZrSb2 GGA-PBE optimized geometry; values from VASP
! - spin magnetization (μB per atom) = 0.00
! - crystal system = triclinic
! - SG = P1
! - energy relative to the elements, uncorrected (eV per atom) = -0.405
! - total DFT energy (no corrections) (eV per atom) = -5.001
&SYSTEM
  ibrav = 0, nat = 4, ntyp = 3
/
ATOMIC_SPECIES
Sb 121.76 Sb.upf
Zr 91.22 Zr.upf
Mg 24.30 Mg.upf
CELL_PARAMETERS angstrom
3.918 0.008 -0.024
0.005 4.404 -0.020
-1.710 -0.585 5.628
ATOMIC_POSITIONS crystal
Sb 0.995 0.042 0.355
Sb 0.748 0.476 0.827
Zr 0.297 0.992 0.932
Mg 0.481 0.547 0.331



! Mg4ZrSb GGA-PBE optimized geometry; values from VASP
! - spin magnetization (μB per atom) = 0.39
! - crystal system = cubic
! - SG = F-43m
! - energy relative to the elements, uncorrected (eV per atom) = 0.136
! - total DFT energy (no corrections) (eV per atom) = -3.039
&SYSTEM
  ibrav = 0, nat = 6, ntyp = 3
/
ATOMIC_SPECIES
Mg 24.30 Mg.upf
Sb 121.76 Sb.upf
Zr 91.22 Zr.upf
CELL_PARAMETERS angstrom
-1.185 1.941 5.319
-3.785 4.313 0.728
-5.166 -1.056 2.380
ATOMIC_POSITIONS crystal
Mg 0.374 0.877 0.374
Mg 0.374 0.374 0.877
Mg 0.877 0.374 0.374
Sb 0.750 0.750 0.750
Zr 0.000 0.000 0.000
Mg 0.374 0.374 0.374



! MgZrSb2 GGA-PBE optimized geometry; values from VASP
! - spin magnetization (μB per atom) = 0.00
! - crystal system = monoclinic
! - SG = C2/m
! - energy relative to the elements, uncorrected (eV per atom) = -0.262
! - total DFT energy (no corrections) (eV per atom) = -4.859
&SYSTEM
  ibrav = 0, nat = 4, ntyp = 3
/
ATOMIC_SPECIES
Mg 24.30 Mg.upf
Zr 91.22 Zr.upf
Sb 121.76 Sb.upf
CELL_PARAMETERS angstrom
-5.508 1.376 -5.816
-0.170 -3.279 4.145
-2.759 1.502 1.130
ATOMIC_POSITIONS crystal
Mg 0.500 0.500 0.000
Zr 0.000 0.500 0.500
Sb 0.000 0.000 0.000
Sb 0.500 0.000 0.500



! MgZr2Sb GGA-PBE optimized geometry; values from VASP
! - spin magnetization (μB per atom) = 0.00
! - crystal system = orthorhombic
! - SG = Immm
! - energy relative to the elements, uncorrected (eV per atom) = -0.340
! - total DFT energy (no corrections) (eV per atom) = -6.043
&SYSTEM
  ibrav = 0, nat = 4, ntyp = 3
/
ATOMIC_SPECIES
Zr 91.22 Zr.upf
Sb 121.76 Sb.upf
Mg 24.30 Mg.upf
CELL_PARAMETERS angstrom
5.495 -0.016 -0.007
2.000 5.119 0.007
-3.679 -2.652 3.104
ATOMIC_POSITIONS crystal
Zr 0.001 0.001 0.000
Sb 0.750 0.250 0.500
Zr 0.499 0.499 0.000
Mg 0.250 0.750 0.500



! Mg2Zr2Sb GGA-PBE optimized geometry; values from VASP
! - spin magnetization (μB per atom) = 0.20
! - crystal system = tetragonal
! - SG = P4/mbm
! - energy relative to the elements, uncorrected (eV per atom) = -0.065
! - total DFT energy (no corrections) (eV per atom) = -4.947
&SYSTEM
  ibrav = 0, nat = 10, ntyp = 3
/
ATOMIC_SPECIES
Mg 24.30 Mg.upf
Sb 121.76 Sb.upf
Zr 91.22 Zr.upf
CELL_PARAMETERS angstrom
-6.662 -3.082 0.539
3.073 -6.684 -0.240
0.371 0.005 4.613
ATOMIC_POSITIONS crystal
Mg 0.149 0.649 0.500
Sb 0.500 0.500 0.000
Zr 0.354 0.854 0.000
Mg 0.851 0.351 0.500
Mg 0.649 0.851 0.500
Zr 0.854 0.646 0.000
Zr 0.146 0.354 0.000
Mg 0.351 0.149 0.500
Sb 0.000 0.000 0.000
Zr 0.646 0.146 0.000



! Mg2ZrSb GGA-PBE optimized geometry; values from VASP
! - spin magnetization (μB per atom) = 0.00
! - crystal system = tetragonal
! - SG = P4mm
! - energy relative to the elements, uncorrected (eV per atom) = -0.280
! - total DFT energy (no corrections) (eV per atom) = -4.245
&SYSTEM
  ibrav = 0, nat = 4, ntyp = 3
/
ATOMIC_SPECIES
Mg 24.30 Mg.upf
Sb 121.76 Sb.upf
Zr 91.22 Zr.upf
CELL_PARAMETERS angstrom
-0.625 1.246 3.565
1.861 -3.042 1.390
5.343 3.186 -0.178
ATOMIC_POSITIONS crystal
Mg 0.500 0.500 0.240
Sb 0.000 0.000 0.525
Zr 0.500 0.500 0.733
Mg 0.000 0.000 0.002



! Mg2ZrSb GGA-PBE optimized geometry; values from VASP
! - spin magnetization (μB per atom) = 0.00
! - crystal system = monoclinic
! - SG = Pm
! - energy relative to the elements, uncorrected (eV per atom) = -0.162
! - total DFT energy (no corrections) (eV per atom) = -4.127
&SYSTEM
  ibrav = 0, nat = 4, ntyp = 3
/
ATOMIC_SPECIES
Zr 91.22 Zr.upf
Mg 24.30 Mg.upf
Sb 121.76 Sb.upf
CELL_PARAMETERS angstrom
-4.389 0.853 2.256
-1.515 -1.490 -2.383
0.465 -4.890 2.754
ATOMIC_POSITIONS crystal
Zr 0.500 0.873 0.702
Mg 0.500 0.376 0.186
Mg 0.000 0.879 0.054
Sb 0.000 0.372 0.558



! MgZr2Sb GGA-PBE optimized geometry; values from VASP
! - spin magnetization (μB per atom) = 0.00
! - crystal system = trigonal
! - SG = R3m
! - energy relative to the elements, uncorrected (eV per atom) = -0.090
! - total DFT energy (no corrections) (eV per atom) = -5.793
&SYSTEM
  ibrav = 0, nat = 4, ntyp = 3
/
ATOMIC_SPECIES
Zr 91.22 Zr.upf
Sb 121.76 Sb.upf
Mg 24.30 Mg.upf
CELL_PARAMETERS angstrom
10.219 0.005 0.003
9.678 3.281 0.003
9.678 1.598 2.866
ATOMIC_POSITIONS crystal
Zr 0.252 0.252 0.252
Sb 0.747 0.747 0.747
Mg 0.499 0.499 0.499
Zr 0.001 0.001 0.001



! MgZrSb2 GGA-PBE optimized geometry; values from VASP
! - spin magnetization (μB per atom) = 0.00
! - crystal system = tetragonal
! - SG = P4/mmm
! - energy relative to the elements, uncorrected (eV per atom) = -0.426
! - total DFT energy (no corrections) (eV per atom) = -5.023
&SYSTEM
  ibrav = 0, nat = 4, ntyp = 3
/
ATOMIC_SPECIES
Sb 121.76 Sb.upf
Zr 91.22 Zr.upf
Mg 24.30 Mg.upf
CELL_PARAMETERS angstrom
3.838 0.000 0.000
0.000 3.838 0.000
0.000 0.000 6.367
ATOMIC_POSITIONS crystal
Sb 0.000 0.000 0.763
Zr 0.500 0.500 0.000
Mg 0.500 0.500 0.500
Sb 0.000 0.000 0.237



! MgZrSb2 GGA-PBE optimized geometry; values from VASP
! - spin magnetization (μB per atom) = 0.00
! - crystal system = orthorhombic
! - SG = Cmm2
! - energy relative to the elements, uncorrected (eV per atom) = -0.135
! - total DFT energy (no corrections) (eV per atom) = -4.732
&SYSTEM
  ibrav = 0, nat = 4, ntyp = 3
/
ATOMIC_SPECIES
Mg 24.30 Mg.upf
Zr 91.22 Zr.upf
Sb 121.76 Sb.upf
CELL_PARAMETERS angstrom
-1.260 2.656 -1.198
1.249 -1.260 -2.633
-9.001 -5.097 -1.832
ATOMIC_POSITIONS crystal
Mg 0.500 0.500 0.741
Zr 0.000 0.000 0.512
Sb 0.500 0.500 0.298
Sb 0.000 0.000 0.950



! MgZrSb2 GGA-PBE optimized geometry; values from VASP
! - spin magnetization (μB per atom) = 0.00
! - crystal system = trigonal
! - SG = R3m
! - energy relative to the elements, uncorrected (eV per atom) = 0.001
! - total DFT energy (no corrections) (eV per atom) = -4.596
&SYSTEM
  ibrav = 0, nat = 4, ntyp = 3
/
ATOMIC_SPECIES
Sb 121.76 Sb.upf
Mg 24.30 Mg.upf
Zr 91.22 Zr.upf
CELL_PARAMETERS angstrom
11.419 -0.030 -0.018
10.955 3.221 -0.018
10.955 1.562 2.816
ATOMIC_POSITIONS crystal
Sb 0.014 0.014 0.014
Mg 0.752 0.752 0.752
Zr 0.497 0.497 0.497
Sb 0.237 0.237 0.237



! MgZrSb2 GGA-PBE optimized geometry; values from VASP
! - spin magnetization (μB per atom) = 0.00
! - crystal system = monoclinic
! - SG = Cm
! - energy relative to the elements, uncorrected (eV per atom) = -0.392
! - total DFT energy (no corrections) (eV per atom) = -4.989
&SYSTEM
  ibrav = 0, nat = 16, ntyp = 3
/
ATOMIC_SPECIES
Sb 121.76 Sb.upf
Zr 91.22 Zr.upf
Mg 24.30 Mg.upf
CELL_PARAMETERS angstrom
-4.165 3.322 -2.225
-4.995 -6.595 -0.496
-1.955 0.877 8.037
ATOMIC_POSITIONS crystal
Sb 0.725 0.000 0.597
Sb 0.830 0.500 0.680
Sb 0.323 0.777 0.786
Zr 0.189 0.500 0.987
Mg 0.827 0.204 0.896
Mg 0.827 0.796 0.896
Sb 0.323 0.223 0.786
Zr 0.300 0.500 0.557
Sb 0.830 0.000 0.180
Sb 0.323 0.723 0.286
Sb 0.725 0.500 0.097
Mg 0.827 0.704 0.396
Mg 0.827 0.296 0.396
Zr 0.189 0.000 0.487
Zr 0.300 0.000 0.057
Sb 0.323 0.277 0.286



! MgZrSb2 GGA-PBE optimized geometry; values from VASP
! - spin magnetization (μB per atom) = 0.00
! - crystal system = trigonal
! - SG = P-3m1
! - energy relative to the elements, uncorrected (eV per atom) = -0.501
! - total DFT energy (no corrections) (eV per atom) = -5.097
&SYSTEM
  ibrav = 0, nat = 4, ntyp = 3
/
ATOMIC_SPECIES
Sb 121.76 Sb.upf
Mg 24.30 Mg.upf
Zr 91.22 Zr.upf
CELL_PARAMETERS angstrom
4.141 0.000 0.000
-2.071 3.587 0.000
0.000 0.000 6.947
ATOMIC_POSITIONS crystal
Sb 0.667 0.333 0.251
Mg 0.000 0.000 0.500
Zr 0.000 0.000 0.000
Sb 0.333 0.667 0.749



no.,density (Mg/m³)
1,4.8
2,6.2
3,6.0
4,6.0
5,4.7
6,5.3
7,6.3
8,6.2
9,3.8
10,6.4
11,6.2
12,4.7
13,4.8
14,4.8
15,5.7
16,6.4
17,5.7
18,5.7
19,6.1
20,5.8